Entry 1:
First-principles (PBE) data for KBa2Te after structural relaxation, as listed in Alexandria.

abc: 7.6416 7.6416 7.6416
angles: 139.63 139.63 58.42
Sites, in units of the cell vectors:
K (0.0000, 0.0000, 0.0000)
Ba (0.5000, 0.5000, 0.0000)
Ba (0.7500, 0.2500, 0.5000)
Te (0.2500, 0.7500, 0.5000)

Properties
For the formation energy from raw total energies, the calculation gives -0.52 eV/atom. The volume comes out at 46.37 Å³/atom. For the calculated total energy, the calculation gives -2.545 eV/atom.



Entry 2:
First-principles (PBE) data for KBa2Te after structural relaxation, as listed in Alexandria.

abc: 4.2985 4.2984 11.7016
angles: 90.00 90.02 90.00
Sites, in units of the cell vectors:
K (0.0000, 0.0000, 0.0000)
Ba (0.4986, 0.5000, 0.3277)
Ba (0.5014, 0.5000, 0.6723)
Te (0.0000, 0.0000, 0.5000)

Properties
For the formation energy from raw total energies, the calculation gives -0.72 eV/atom. The volume comes out at 54.05 Å³/atom. For the calculated total energy, the calculation gives -2.746 eV/atom.



Entry 3:
First-principles (PBE) data for KBa2Te after structural relaxation, as listed in Alexandria.

abc: 8.6895 8.6895 8.6895
angles: 104.05 104.05 120.95
Sites, in units of the cell vectors:
K (0.0000, 0.0000, 0.0000)
K (0.7500, 0.2500, 0.5000)
Ba (0.2047, 0.1250, 0.5797)
Ba (0.3750, 0.7953, 0.9203)
Ba (0.5453, 0.6250, 0.4203)
Ba (0.8750, 0.4547, 0.0797)
Te (0.2500, 0.7500, 0.5000)
Te (0.5000, 0.5000, 0.0000)

Properties
For the formation energy from raw total energies, the calculation gives -0.59 eV/atom. The volume comes out at 61.20 Å³/atom. For the calculated total energy, the calculation gives -2.610 eV/atom.



Entry 4:
First-principles (PBE) data for KBa2Te2 after structural relaxation, as listed in Alexandria.

abc: 8.0874 8.0874 8.0874
angles: 132.46 132.46 69.50
Sites, in units of the cell vectors:
K (0.0000, 0.0000, 0.0000)
Ba (0.3236, 0.3236, 0.0000)
Ba (0.6764, 0.6764, 0.0000)
Te (0.2500, 0.7500, 0.5000)
Te (0.7500, 0.2500, 0.5000)

Properties
For the formation energy from raw total energies, the calculation gives -1.12 eV/atom. The energy above the most stable polymorph in this dataset comes out at 0.193 eV per atom. The volume comes out at 56.49 Å³/atom. For the calculated total energy, the calculation gives -3.370 eV/atom.



Entry 5:
First-principles (PBE) data for KBa2Te after structural relaxation, as listed in Alexandria.

abc: 12.5056 12.5056 12.5056
angles: 21.93 21.93 21.93
Sites, in units of the cell vectors:
K (0.0000, 0.0000, 0.0000)
Ba (0.5573, 0.5573, 0.5573)
Ba (0.7756, 0.7756, 0.7756)
Te (0.1663, 0.1663, 0.1663)

Properties
For the formation energy from raw total energies, the calculation gives -0.78 eV/atom. The volume comes out at 59.76 Å³/atom. For the calculated total energy, the calculation gives -2.805 eV/atom.



Entry 6:
First-principles (PBE) data for KBa2ThTe4 after structural relaxation, as listed in Alexandria.

abc: 8.3093 4.7754 8.4695
angles: 90.00 108.85 90.00
Sites, in units of the cell vectors:
K (0.0000, 0.0000, 0.0000)
Ba (0.5000, 0.0000, 0.5000)
Ba (0.5000, 0.5000, 0.0000)
Th (0.0000, 0.5000, 0.5000)
Te (0.2257, 0.0000, 0.7281)
Te (0.2307, 0.5000, 0.2676)
Te (0.7693, 0.5000, 0.7324)
Te (0.7743, 0.0000, 0.2719)

Properties
For the formation energy from raw total energies, the calculation gives -1.42 eV/atom. The volume comes out at 39.75 Å³/atom. For the calculated total energy, the calculation gives -4.539 eV/atom.



Entry 7:
First-principles (PBE) data for K3BaTh2Te6 after structural relaxation, as listed in Alexandria.

abc: 10.9501 10.9501 10.0578
angles: 106.43 106.43 24.51
Sites, in units of the cell vectors:
K (0.0000, 0.0000, 0.0000)
K (0.3393, 0.3393, 0.6653)
K (0.6607, 0.6607, 0.3347)
Ba (0.0000, 0.0000, 0.5000)
Th (0.3313, 0.3313, 0.1610)
Th (0.6687, 0.6687, 0.8390)
Te (0.1705, 0.1705, 0.6219)
Te (0.1751, 0.1751, 0.0645)
Te (0.4826, 0.4826, 0.2397)
Te (0.5174, 0.5174, 0.7603)
Te (0.8249, 0.8249, 0.9355)
Te (0.8295, 0.8295, 0.3781)

Properties
For the formation energy from raw total energies, the calculation gives -1.29 eV/atom. The volume comes out at 39.91 Å³/atom. For the calculated total energy, the calculation gives -4.534 eV/atom.



Entry 8:
First-principles (PBE) data for KBaTiTe2 after structural relaxation, as listed in Alexandria.

abc: 6.1722 6.1722 4.9770
angles: 90.00 90.00 90.00
Sites, in units of the cell vectors:
K (0.0000, 0.0000, 0.0000)
Ba (0.5000, 0.5000, 0.5000)
Ti (0.0000, 0.0000, 0.5000)
Te (0.0000, 0.5000, 0.0000)
Te (0.5000, 0.0000, 0.0000)

Properties
For the formation energy from raw total energies, the calculation gives 0.20 eV/atom. The volume comes out at 37.92 Å³/atom. For the calculated total energy, the calculation gives -3.236 eV/atom.



Entry 9:
First-principles (PBE) data for K3Ba2UTe6 after structural relaxation, as listed in Alexandria.

abc: 8.4430 8.4430 8.6309
angles: 99.58 99.58 119.92
Sites, in units of the cell vectors:
K (0.0000, 0.0000, 0.0000)
K (0.3273, 0.6727, 0.0000)
K (0.6727, 0.3273, 0.0000)
Ba (0.1662, 0.8338, 0.5000)
Ba (0.8338, 0.1662, 0.5000)
U (0.5000, 0.5000, 0.5000)
Te (0.1337, 0.4270, 0.2814)
Te (0.2832, 0.2832, 0.7163)
Te (0.4270, 0.1337, 0.2814)
Te (0.5730, 0.8663, 0.7186)
Te (0.7168, 0.7168, 0.2837)
Te (0.8663, 0.5730, 0.7186)

Properties
For the formation energy from raw total energies, the calculation gives -1.22 eV/atom. The volume comes out at 41.91 Å³/atom. For the calculated total energy, the calculation gives -4.328 eV/atom.



Entry 10:
First-principles (PBE) data for K2BaUTe4 after structural relaxation, as listed in Alexandria.

abc: 8.4087 4.7391 8.6161
angles: 90.00 108.30 90.00
Sites, in units of the cell vectors:
K (0.0000, 0.0000, 0.0000)
K (0.5000, 0.5000, 0.0000)
Ba (0.0000, 0.5000, 0.5000)
U (0.5000, 0.0000, 0.5000)
Te (0.2765, 0.0000, 0.7195)
Te (0.2911, 0.5000, 0.2921)
Te (0.7089, 0.5000, 0.7079)
Te (0.7235, 0.0000, 0.2805)

Properties
For the formation energy from raw total energies, the calculation gives -1.12 eV/atom. The volume comes out at 40.75 Å³/atom. For the calculated total energy, the calculation gives -4.620 eV/atom.



Entry 11:
First-principles (PBE) data for KBaZr2Te after structural relaxation, as listed in Alexandria.

abc: 5.4689 5.4689 6.5721
angles: 90.00 90.00 90.00
Sites, in units of the cell vectors:
K (0.0000, 0.0000, 0.0000)
Ba (0.5000, 0.5000, 0.5000)
Zr (0.0000, 0.5000, 0.5000)
Zr (0.5000, 0.0000, 0.5000)
Te (0.5000, 0.5000, 0.0000)

Properties
For the formation energy from raw total energies, the calculation gives 1.19 eV/atom. The volume comes out at 39.31 Å³/atom. For the calculated total energy, the calculation gives -3.458 eV/atom.



Entry 12:
First-principles (PBE) data for KBaTi2 after structural relaxation, as listed in Alexandria.

abc: 5.8928 5.8928 5.8928
angles: 60.00 60.00 60.00
Sites, in units of the cell vectors:
K (0.0000, 0.0000, 0.0000)
Ba (0.5000, 0.5000, 0.5000)
Ti (0.2500, 0.2500, 0.2500)
Ti (0.7500, 0.7500, 0.7500)

Properties
The energy above the most stable polymorph in this dataset comes out at 0.096 eV per atom. The value obtained for the formation energy is 1.3172 eV/atom. The volume comes out at 36.17 Å³/atom. For the calculated total energy, the calculation gives -3.385 eV/atom.



Entry 13:
First-principles (PBE) data for KBa2Ti after structural relaxation, as listed in Alexandria.

abc: 8.2551 8.2551 8.2551
angles: 104.04 104.04 120.99
Sites, in units of the cell vectors:
K (0.0000, 0.0000, 0.0000)
K (0.7500, 0.2500, 0.5000)
Ba (0.1620, 0.6250, 0.0370)
Ba (0.3750, 0.4120, 0.5370)
Ba (0.5880, 0.1250, 0.9630)
Ba (0.8750, 0.8380, 0.4630)
Ti (0.2500, 0.7500, 0.5000)
Ti (0.5000, 0.5000, 0.0000)

Properties
The energy above the most stable polymorph in this dataset comes out at 0.151 eV per atom. The value obtained for the formation energy is 0.8243 eV/atom. The volume comes out at 52.46 Å³/atom. For the calculated total energy, the calculation gives -2.385 eV/atom.



Entry 14:
First-principles (PBE) data for KBa2Ti after structural relaxation, as listed in Alexandria.

abc: 6.4272 6.4272 6.4272
angles: 60.00 60.00 60.00
Sites, in units of the cell vectors:
K (0.0000, 0.0000, 0.0000)
Ba (0.2500, 0.2500, 0.2500)
Ba (0.7500, 0.7500, 0.7500)
Ti (0.5000, 0.5000, 0.5000)

Properties
The energy above the most stable polymorph in this dataset comes out at 0.000 eV per atom. The value obtained for the formation energy is 0.6732 eV/atom. The volume comes out at 46.93 Å³/atom. For the calculated total energy, the calculation gives -2.536 eV/atom.



Entry 15:
First-principles (PBE) data for KBaTi2 after structural relaxation, as listed in Alexandria.

abc: 12.7765 12.7765 12.7765
angles: 159.85 159.85 28.65
Sites, in units of the cell vectors:
K (0.0000, 0.0000, 0.0000)
K (0.7500, 0.2500, 0.5000)
Ba (0.2500, 0.7500, 0.5000)
Ba (0.5000, 0.5000, 0.0000)
Ti (0.1284, 0.6250, 0.0034)
Ti (0.3750, 0.3784, 0.5034)
Ti (0.6216, 0.1250, 0.9966)
Ti (0.8750, 0.8716, 0.4966)

Properties
The energy above the most stable polymorph in this dataset comes out at 0.000 eV per atom. The value obtained for the formation energy is 1.2212 eV/atom. The volume comes out at 30.93 Å³/atom. For the calculated total energy, the calculation gives -3.481 eV/atom.



Entry 16:
First-principles (PBE) data for KBaTiTl2 after structural relaxation, as listed in Alexandria.

abc: 5.6149 5.6149 5.8005
angles: 90.00 90.00 90.00
Sites, in units of the cell vectors:
K (0.0000, 0.0000, 0.0000)
Ba (0.5000, 0.5000, 0.0000)
Ti (0.5000, 0.5000, 0.5000)
Tl (0.0000, 0.5000, 0.5000)
Tl (0.5000, 0.0000, 0.5000)

Properties
The value obtained for the formation energy is 0.2134 eV/atom. The volume comes out at 36.57 Å³/atom. For the calculated total energy, the calculation gives -2.916 eV/atom.



Entry 17:
First-principles (PBE) data for KBa2TiW after structural relaxation, as listed in Alexandria.

abc: 6.5804 6.5804 4.6946
angles: 90.00 90.00 90.00
Sites, in units of the cell vectors:
K (0.0000, 0.0000, 0.0000)
Ba (0.0000, 0.5000, 0.5000)
Ba (0.5000, 0.0000, 0.5000)
Ti (0.5000, 0.5000, 0.5000)
W (0.5000, 0.5000, 0.0000)

Properties
The value obtained for the formation energy is 1.0078 eV/atom. The volume comes out at 40.66 Å³/atom. For the calculated total energy, the calculation gives -4.150 eV/atom.



Entry 18:
First-principles (PBE) data for KBa2Tl after structural relaxation, as listed in Alexandria.

abc: 4.5372 4.5372 13.0797
angles: 99.28 99.28 59.44
Sites, in units of the cell vectors:
K (0.0000, 0.0000, 0.0000)
Ba (0.2272, 0.2272, 0.6902)
Ba (0.7728, 0.7728, 0.3098)
Tl (0.5000, 0.5000, 0.5000)

Properties
The value obtained for the formation energy is -0.1172 eV/atom. The volume comes out at 56.96 Å³/atom. For the calculated total energy, the calculation gives -1.944 eV/atom.



Entry 19:
First-principles (PBE) data for K2BaTl after structural relaxation, as listed in Alexandria.

abc: 4.8450 4.8620 8.5901
angles: 90.00 90.00 90.00
Sites, in units of the cell vectors:
K (0.0000, 0.0000, 0.2027)
K (0.0000, 0.0000, 0.7973)
Ba (0.5000, 0.5000, 0.5000)
Tl (0.5000, 0.5000, 0.0000)

Properties
The energy above the most stable polymorph in this dataset comes out at 0.177 eV per atom. The value obtained for the formation energy is 0.0621 eV/atom. The volume comes out at 50.59 Å³/atom. For the calculated total energy, the calculation gives -1.559 eV/atom.



Entry 20:
First-principles (PBE) data for K2BaTl after structural relaxation, as listed in Alexandria.

abc: 6.7882 6.7882 8.3681
angles: 113.04 113.04 38.59
Sites, in units of the cell vectors:
K (0.0000, 0.0000, 0.0000)
K (0.1956, 0.1956, 0.7331)
Ba (0.3734, 0.3734, 0.3757)
Tl (0.6571, 0.6571, 0.3692)

Properties
The energy above the most stable polymorph in this dataset comes out at 0.073 eV per atom. The value obtained for the formation energy is -0.0416 eV/atom. The volume comes out at 54.72 Å³/atom. For the calculated total energy, the calculation gives -1.663 eV/atom.